The following is a DFT calculation (PBE) of a relaxed NaCeEuIn crystal.

## Properties
Formation energy from the elements = -40 meV/atom

Cell: 7.949 7.949 7.949 Å, 90.00 90.00 90.00°
Space group F-43m (No. 216)
Unique sites:
Na 0.000 0.000 0.000 (multiplicity 4)
Ce 0.250 0.250 0.750 (multiplicity 4)
Eu 0.250 0.250 0.250 (multiplicity 4)
In 0.000 0.000 0.500 (multiplicity 4)